VASP calculation (PBE-GGA) on an optimized crystal structure of Zn2HO. Values from VASP.

Values from the calculation:
Polymorph energy (0 for the lowest one) in kJ per mole of atoms: 38.4

Cell and atoms, written as Quantum ESPRESSO input:
```
&SYSTEM
  ibrav = 0, nat = 4, ntyp = 3
/
ATOMIC_SPECIES
O 16.00 O.upf
H 1.01 H.upf
Zn 65.41 Zn.upf
CELL_PARAMETERS angstrom
0.0000 2.7155 2.7155
2.7155 0.0000 2.7155
2.7155 2.7155 0.0000
ATOMIC_POSITIONS crystal
O 0.5000 0.5000 0.5000
H 0.0000 0.0000 0.0000
Zn 0.2500 0.2500 0.2500
Zn 0.7500 0.7500 0.7500
```